(1)
Below is a geometry-optimized FeTcPO2 structure, with properties calculated at the GGA-PBEsol level.

Unit cell a=3.649 b=3.649 c=5.164 alpha=90.00 beta=90.00 gamma=90.00
Site moments in Bohr magnetons follow the coordinates.
Sites, in units of the cell vectors:
P1 0.000 0.000 0.500  0.00
Tc1 0.000 0.000 0.000  -0.15
O1 0.000 0.500 0.000  0.01
O2 0.500 0.000 0.000  0.01
Fe1 0.500 0.500 0.500  3.10

Summary:
magnetization = 3.11 μB/f.u.
raw formation energy = -426 meV per atom
E_tot = -7.729 eV/atom
space group = P4/mmm, No. 123

---

(2)
Below is a geometry-optimized FeTcPO2 structure, with properties calculated at the GGA-PBEsol level.

Unit cell a=3.535 b=3.535 c=4.834 alpha=90.00 beta=90.00 gamma=90.00
Site moments in Bohr magnetons follow the coordinates.
Sites, in units of the cell vectors:
P1 0.000 0.000 0.500  -0.06
Tc1 0.500 0.500 0.500  2.43
O1 0.000 0.500 0.000  0.23
O2 0.500 0.000 0.000  0.23
Fe1 0.000 0.000 0.000  1.82

Summary:
magnetization = 4.90 μB/f.u.
raw formation energy = -61 meV per atom
E_tot = -7.365 eV/atom
space group = P4/mmm, No. 123